No. 1
Ga2Te4O11 at its PBEsol-relaxed geometry. Source: the Alexandria database, functional meta-GGA SCAN.

The density of states at the Fermi level is 0.0 states/eV per cell. The formation energy (no corrections) is -31.58 kcal/mol of atoms. The calculation puts the total magnetization at 0.00 μB per atom. The value obtained for the total energy is -273.52 eV for the cell shown.

Cell: 5.054 6.483 8.057 Å, 106.46 90.28 109.50°
Space group P1 (No. 1)
Symmetry-distinct sites (fractional):
Ga (0.000, 0.000, 0.000) (multiplicity 1)
Ga (0.333, 0.628, 0.649) (multiplicity 1)
Te (0.072, 0.051, 0.616) (multiplicity 1)
Te (0.301, 0.646, 0.214) (multiplicity 1)
Te (0.610, 0.242, 0.298) (multiplicity 1)
Te (0.753, 0.467, 0.845) (multiplicity 1)
O (0.082, 0.728, 0.983) (multiplicity 1)
O (0.287, 0.940, 0.347) (multiplicity 1)
O (0.288, 0.918, 0.712) (multiplicity 1)
O (0.352, 0.224, 0.117) (multiplicity 1)
O (0.393, 0.316, 0.628) (multiplicity 1)
O (0.428, 0.594, 0.421) (multiplicity 1)
O (0.657, 0.724, 0.812) (multiplicity 1)
O (0.749, 0.007, 0.170) (multiplicity 1)
O (0.905, 0.483, 0.208) (multiplicity 1)
O (0.953, 0.434, 0.643) (multiplicity 1)
O (0.991, 0.181, 0.853) (multiplicity 1)

---

No. 2
Y2Ni at its PBEsol-relaxed geometry. Source: the Alexandria database, functional meta-GGA SCAN.

As for the energy of formation: -0.216 eV per atom. The density of states at the Fermi level is 96.5 states/eV per cell. The calculation puts the total magnetization at 0.00 μB per atom. The value obtained for the total energy is -2320.22 eV for the cell shown.

Cell: 12.897 12.897 12.897 Å, 90.00 90.00 90.00°
Space group Fd-3m (No. 227, origin choice 2)
Symmetry-distinct sites (fractional):
Y (0.000, 0.000, 0.000) (multiplicity 16)
Y (0.062, 0.375, 0.875) (multiplicity 48)
Ni (0.026, 0.026, 0.224) (multiplicity 32)

---

No. 3
MnZnPt2 at its PBEsol-relaxed geometry. Source: the Alexandria database, functional meta-GGA SCAN.

As for the energy of formation: -0.744 eV per atom. The density of states at the Fermi level is 1.0 states/eV per cell. The calculation puts the total magnetization at 1.12 μB per atom. The value obtained for the total energy is -175.13 eV for the cell shown.

Cell: 2.853 3.488 5.669 Å, 90.00 90.00 90.00°
Space group Pmmm (No. 47)
Symmetry-distinct sites (fractional):
Mn (0.000, 0.000, 0.000) (multiplicity 1)
Zn (0.000, 0.000, 0.500) (multiplicity 1)
Pt (0.500, 0.500, 0.251) (multiplicity 2)

---

No. 4
SrZn2Ag at its PBEsol-relaxed geometry. Source: the Alexandria database, functional meta-GGA SCAN.

As for the energy of formation: -0.030 eV per atom. The density of states at the Fermi level is 1.6 states/eV per cell. The calculation puts the total magnetization at 0.00 μB per atom. The value obtained for the total energy is -80.79 eV for the cell shown.

Cell: 3.438 3.438 7.043 Å, 90.00 90.00 90.00°
Space group P4mm (No. 99)
Symmetry-distinct sites (fractional):
Sr (0.000, 0.000, 0.000) (multiplicity 1)
Zn (0.000, 0.000, 0.505) (multiplicity 1)
Zn (0.500, 0.500, 0.693) (multiplicity 1)
Ag (0.500, 0.500, 0.316) (multiplicity 1)